The following is a DFT calculation (GGA-PBE) of crystalline Pm2Dy5Y at its relaxed geometry.

a = 6.766 Å, b = 8.902 Å, c = 9.066 Å
α = 96.28°, β = 99.20°, γ = 102.51°
Space group P-1 (No. 2)
Inequivalent atoms, fractional coordinates:
Pm 0.120 0.447 0.355
Pm 0.130 0.354 0.970
Dy 0.019 0.836 0.385
Dy 0.224 0.075 0.138
Dy 0.258 0.907 0.764
Dy 0.397 0.744 0.086
Dy 0.460 0.186 0.518
Y 0.409 0.544 0.731

- E above lowest polymorph: 0.349 eV/f.u.
- Mass density: 7.604 g/cm³
- Fermi-level density of states: 11.9 states/eV/f.u.